Entry 1:
Entry from the Alexandria database: a geometry-optimized Cs2HfAsF6 structure (GGA-PBE).

abc: 7.121 7.121 7.121
angles: 120.29 120.29 89.49
Positions (direct):
1 Cs 0.250 0.750 0.500
2 Cs 0.750 0.250 0.500
3 Hf 0.000 0.000 0.000
4 As 0.500 0.500 0.000
5 F 0.198 0.198 0.000
6 F 0.200 0.200 0.400
7 F 0.200 0.800 0.000
8 F 0.800 0.200 0.000
9 F 0.800 0.800 0.600
10 F 0.802 0.802 0.000

## Properties
- Spin magnetization: 3.00 μB/f.u.
- Energy: -5.5407 eV per atom
- SG: No. 139
- Uncorrected formation energy: -2786.9 meV per atom


Entry 2:
Entry from the Alexandria database: a geometry-optimized CsInAsF2 structure (GGA-PBE).

abc: 4.698 4.698 6.984
angles: 90.00 90.00 90.00
Positions (direct):
1 Cs 0.000 0.000 0.000
2 In 0.500 0.500 0.000
3 As 0.000 0.000 0.500
4 F 0.000 0.500 0.500
5 F 0.500 0.000 0.500

## Properties
- Spin magnetization: 0.01 μB/f.u.
- Energy: -2.8906 eV per atom
- SG: No. 123
- Uncorrected formation energy: -493.8 meV per atom


Entry 3:
Entry from the Alexandria database: a geometry-optimized Cs2InAsF6 structure (GGA-PBE).

abc: 6.705 6.705 6.705
angles: 60.00 60.00 60.00
Positions (direct):
1 Cs 0.250 0.250 0.250
2 Cs 0.750 0.750 0.750
3 In 0.000 0.000 0.000
4 As 0.500 0.500 0.500
5 F 0.280 0.280 0.720
6 F 0.280 0.720 0.280
7 F 0.280 0.720 0.720
8 F 0.720 0.280 0.280
9 F 0.720 0.280 0.720
10 F 0.720 0.720 0.280

## Properties
- Spin magnetization: 0.00 μB/f.u.
- Energy: -4.3457 eV per atom
- SG: No. 225
- Uncorrected formation energy: -2313.4 meV per atom


Entry 4:
Entry from the Alexandria database: a geometry-optimized CsAsIrNF structure (GGA-PBE).

abc: 4.184 4.886 6.626
angles: 98.97 90.15 115.10
Positions (direct):
1 Cs 0.000 0.000 0.000
2 As 0.757 0.515 0.403
3 Ir 0.384 0.770 0.543
4 N 0.562 0.126 0.442
5 F 0.274 0.546 0.797

## Properties
- Spin magnetization: 0.00 μB/f.u.
- Energy: -5.4038 eV per atom
- SG: No. 1
- Uncorrected formation energy: -491.6 meV per atom


Entry 5:
Entry from the Alexandria database: a geometry-optimized CsAsIrNF structure (GGA-PBE).

abc: 3.585 4.218 8.163
angles: 99.57 90.12 115.10
Positions (direct):
1 Cs 0.000 0.000 0.000
2 As 0.437 0.855 0.475
3 Ir 0.167 0.315 0.595
4 N 0.680 0.339 0.691
5 F 0.343 0.683 0.197

## Properties
- Spin magnetization: 0.00 μB/f.u.
- Energy: -5.4679 eV per atom
- SG: No. 1
- Uncorrected formation energy: -555.7 meV per atom


Entry 6:
Entry from the Alexandria database: a geometry-optimized CsAsIrNF structure (GGA-PBE).

abc: 4.943 4.943 7.891
angles: 120.07 120.07 49.12
Positions (direct):
1 Cs 0.000 0.000 0.000
2 As 0.101 0.101 0.604
3 Ir 0.421 0.421 0.467
4 N 0.277 0.277 0.562
5 F 0.434 0.434 0.209

## Properties
- Spin magnetization: 0.00 μB/f.u.
- Energy: -5.3965 eV per atom
- SG: No. 8
- Uncorrected formation energy: -484.4 meV per atom


Entry 7:
Entry from the Alexandria database: a geometry-optimized CsAsIrNF structure (GGA-PBE).

abc: 3.816 3.912 7.585
angles: 98.66 94.23 99.35
Positions (direct):
1 Cs 0.000 0.000 0.000
2 As 0.400 0.386 0.603
3 Ir 0.566 0.872 0.434
4 N 0.083 0.000 0.452
5 F 0.556 0.521 0.158

## Properties
- Spin magnetization: 0.00 μB/f.u.
- Energy: -5.4814 eV per atom
- SG: No. 1
- Uncorrected formation energy: -569.2 meV per atom


Entry 8:
Entry from the Alexandria database: a geometry-optimized CsAsIrNF structure (GGA-PBE).

abc: 3.749 3.689 8.247
angles: 90.00 97.21 90.00
Positions (direct):
1 Cs 0.000 0.000 0.000
2 As 0.599 0.500 0.385
3 Ir 0.148 0.500 0.575
4 N 0.145 0.000 0.596
5 F 0.469 0.500 0.866

## Properties
- Spin magnetization: 0.00 μB/f.u.
- Energy: -5.5504 eV per atom
- SG: No. 6
- Uncorrected formation energy: -638.3 meV per atom


Entry 9:
Entry from the Alexandria database: a geometry-optimized CsAsIrNF structure (GGA-PBE).

abc: 3.768 4.109 8.210
angles: 100.79 90.87 117.17
Positions (direct):
1 Cs 0.000 0.000 0.000
2 As 0.452 0.883 0.437
3 Ir 0.186 0.342 0.583
4 N 0.707 0.380 0.617
5 F 0.735 0.459 0.182

## Properties
- Spin magnetization: 0.00 μB/f.u.
- Energy: -5.5310 eV per atom
- SG: No. 1
- Uncorrected formation energy: -618.8 meV per atom


Entry 10:
Entry from the Alexandria database: a geometry-optimized CsAsIrNF structure (GGA-PBE).

abc: 3.339 3.815 8.910
angles: 85.00 79.35 90.00
Positions (direct):
1 Cs 0.000 0.000 0.000
2 As 0.702 0.882 0.588
3 Ir 0.790 0.424 0.409
4 N 0.338 0.441 0.313
5 F 0.571 0.524 0.856

## Properties
- Spin magnetization: 0.00 μB/f.u.
- Energy: -5.5059 eV per atom
- SG: No. 1
- Uncorrected formation energy: -593.7 meV per atom


Entry 11:
Entry from the Alexandria database: a geometry-optimized CsAsIrNF structure (GGA-PBE).

abc: 3.756 3.682 8.439
angles: 90.00 95.70 90.00
Positions (direct):
1 Cs 0.000 0.000 0.000
2 As 0.130 0.500 0.589
3 Ir 0.575 0.500 0.400
4 N 0.576 0.000 0.375
5 F 0.476 0.500 0.869

## Properties
- Spin magnetization: 0.00 μB/f.u.
- Energy: -5.5536 eV per atom
- SG: No. 6
- Uncorrected formation energy: -641.4 meV per atom


Entry 12:
Entry from the Alexandria database: a geometry-optimized CsKAsF6 structure (GGA-PBE).

abc: 6.381 6.381 5.781
angles: 90.03 90.03 120.11
Positions (direct):
1 Cs 0.000 0.000 0.000
2 K 0.666 0.334 0.500
3 As 0.333 0.667 0.500
4 F 0.082 0.419 0.311
5 F 0.083 0.663 0.690
6 F 0.337 0.917 0.310
7 F 0.338 0.421 0.691
8 F 0.579 0.662 0.309
9 F 0.581 0.918 0.689

## Properties
- Spin magnetization: 1.04 μB/f.u.
- Energy: -4.4199 eV per atom
- SG: No. 5
- Uncorrected formation energy: -2438.9 meV per atom


What are the calculated density values for these records? In order: 4.1 3.9 4.4 6.0 6.5 5.9 6.5 6.4 6.5 6.5 6.2 2.9 g/cm³.